This record from Alexandria describes a relaxed TbPuGa crystal. The functional is PBE.

```
TbPuGa
1.0
3.412 0.000 0.000
0.000 5.017 0.000
0.000 -2.509 4.345
Ga Pu Tb
1 1 1
Direct
0.001 0.000 0.000
0.288 0.333 0.667
0.712 0.667 0.333
```

Total magnetic moment ... 5.9 Bohr magnetons per cell
Excess energy over the best structure of this formula in the dataset ... 72 meV per atom